No. 1
Here is a crystal of ReO3 relaxed with PBEsol from Alexandria. Energies are from SCAN.

Values from the calculation:
**Formation energy from raw total energies**: -1.6230 eV per atom
**Calculated density**: 7.30 g cm⁻³

CIF file:
```
data_ReO3
_chemical_formula_sum 'Re1 O3'
_cell_length_a 3.763
_cell_length_b 3.763
_cell_length_c 3.763
_cell_angle_alpha 90.00
_cell_angle_beta 90.00
_cell_angle_gamma 90.00
_space_group_name_H-M_alt 'P m -3 m'
_space_group_IT_number 221
_space_group_name_Hall '-P 4 2 3'
loop_
_atom_site_label
_atom_site_fract_x
_atom_site_fract_y
_atom_site_fract_z
Re1 0.000 0.000 0.000
O1 0.000 0.000 0.500
```

***

No. 2
Here is a crystal of Te2IrRh relaxed with PBEsol from Alexandria. Energies are from SCAN.

Values from the calculation:
**Formation energy from raw total energies**: 0.2748 eV per atom
**Calculated density**: 12.57 g cm⁻³

CIF file:
```
data_Te2IrRh
_chemical_formula_sum 'Te8 Ir4 Rh4'
_cell_length_a 6.625
_cell_length_b 6.625
_cell_length_c 6.625
_cell_angle_alpha 90.00
_cell_angle_beta 90.00
_cell_angle_gamma 90.00
_space_group_name_H-M_alt 'F m -3 m'
_space_group_IT_number 225
_space_group_name_Hall '-F 4 2 3'
loop_
_atom_site_label
_atom_site_fract_x
_atom_site_fract_y
_atom_site_fract_z
Te1 0.250 0.250 0.250
Ir1 0.000 0.000 0.000
Rh1 0.000 0.000 0.500
```

***

No. 3
Here is a crystal of La2YTeBr relaxed with PBEsol from Alexandria. Energies are from SCAN.

Values from the calculation:
**Formation energy from raw total energies**: -0.2335 eV per atom
**Calculated density**: 5.04 g cm⁻³

CIF file:
```
data_La2YTeBr
_chemical_formula_sum 'La2 Y1 Te1 Br1'
_cell_length_a 5.879
_cell_length_b 5.879
_cell_length_c 5.479
_cell_angle_alpha 90.00
_cell_angle_beta 90.00
_cell_angle_gamma 90.00
_space_group_name_H-M_alt 'P 4/m m m'
_space_group_IT_number 123
_space_group_name_Hall '-P 4 2'
loop_
_atom_site_label
_atom_site_fract_x
_atom_site_fract_y
_atom_site_fract_z
La1 0.000 0.500 0.000
Y1 0.000 0.000 0.000
Te1 0.000 0.000 0.500
Br1 0.500 0.500 0.500
```

***

No. 4
Here is a crystal of TaTe2ICl relaxed with PBEsol from Alexandria. Energies are from SCAN.

Values from the calculation:
**Formation energy from raw total energies**: 0.0838 eV per atom
**Calculated density**: 6.55 g cm⁻³

CIF file:
```
data_TaTe2ICl
_chemical_formula_sum 'Ta1 Te2 I1 Cl1'
_cell_length_a 5.288
_cell_length_b 5.288
_cell_length_c 5.428
_cell_angle_alpha 90.00
_cell_angle_beta 90.00
_cell_angle_gamma 90.00
_space_group_name_H-M_alt 'P 4/m m m'
_space_group_IT_number 123
_space_group_name_Hall '-P 4 2'
loop_
_atom_site_label
_atom_site_fract_x
_atom_site_fract_y
_atom_site_fract_z
Ta1 0.000 0.000 0.000
Te1 0.000 0.500 0.000
I1 0.000 0.000 0.500
Cl1 0.500 0.500 0.500
```

***

No. 5
Here is a crystal of NdMg16Al12 relaxed with PBEsol from Alexandria. Energies are from SCAN.

Values from the calculation:
**Total energy**: -218.42 eV/f.u.
**Calculated density**: 2.46 g cm⁻³

CIF file:
```
data_NdMg16Al12
_chemical_formula_sum 'Nd2 Mg32 Al24'
_cell_length_a 10.497
_cell_length_b 10.497
_cell_length_c 10.497
_cell_angle_alpha 90.00
_cell_angle_beta 90.00
_cell_angle_gamma 90.00
_space_group_name_H-M_alt 'I -4 3 m'
_space_group_IT_number 217
_space_group_name_Hall 'I -4 2 3'
loop_
_atom_site_label
_atom_site_fract_x
_atom_site_fract_y
_atom_site_fract_z
Nd1 0.000 0.000 0.000
Mg1 0.039 0.359 0.641
Mg2 0.180 0.180 0.180
Al1 0.091 0.091 0.722
```

***

No. 6
Here is a crystal of LiCuNi relaxed with PBEsol from Alexandria. Energies are from SCAN.

Values from the calculation:
**Total energy**: -33.57 eV/f.u.
**Calculated density**: 6.31 g cm⁻³

CIF file:
```
data_LiCuNi
_chemical_formula_sum 'Li2 Cu2 Ni2'
_cell_length_a 2.448
_cell_length_b 2.448
_cell_length_c 11.344
_cell_angle_alpha 90.00
_cell_angle_beta 90.00
_cell_angle_gamma 90.00
_space_group_name_H-M_alt 'I 4 m m'
_space_group_IT_number 107
_space_group_name_Hall 'I 4 -2'
loop_
_atom_site_label
_atom_site_fract_x
_atom_site_fract_y
_atom_site_fract_z
Li1 0.000 0.000 0.000
Cu1 0.000 0.000 0.322
Ni1 0.000 0.000 0.667
```

***

Q: calculated density of number 6 (LiCuNi)?
A: 6.31 g cm⁻³

***

Q: What is the formula in the third record?
A: La2YTeBr

***

Q: Which formula does entry 4 have?
A: TaTe2ICl